# 1
An optimized crystal structure of Sc2TlP, computed with PBE-GGA.

Properties
Total magnetic moment: 0.00 Bohr magnetons per cell

Cell lengths 3.678, 3.678, 7.221 Å; angles 90.00, 90.00, 90.00 degrees
Space group P4mm (No. 99)
Inequivalent atoms, fractional coordinates:
Sc 0.000 0.000 0.000
Sc 0.500 0.500 0.366
Tl 0.000 0.000 0.574
P 0.500 0.500 0.015

***

# 2
An optimized crystal structure of Sc2TlP2, computed with PBE-GGA.

Properties
Total magnetic moment: 0.00 Bohr magnetons per cell

Cell lengths 7.519, 7.519, 3.465 Å; angles 90.00, 90.00, 90.00 degrees
Space group P4/mbm (No. 127)
Inequivalent atoms, fractional coordinates:
Sc 0.151 0.349 0.000
Tl 0.000 0.000 0.500
P 0.143 0.643 0.500

***

# 3
An optimized crystal structure of Sc3TlP, computed with PBE-GGA.

Properties
Total magnetic moment: 0.01 Bohr magnetons per cell

Cell lengths 3.388, 5.643, 15.223 Å; angles 90.00, 90.00, 90.00 degrees
Space group Amm2 (No. 38)
Inequivalent atoms, fractional coordinates:
Sc 0.000 0.000 0.000
Sc 0.500 0.244 0.352
Tl 0.500 0.000 0.170
P 0.000 0.000 0.447

***

# 4
An optimized crystal structure of Sc3TlP, computed with PBE-GGA.

Properties
Total magnetic moment: 0.00 Bohr magnetons per cell

Cell lengths 4.5345, 4.5345, 15.1074 Å; angles 90.00, 90.00, 120.00 degrees
Space group P6_3/mmc (No. 194)
Inequivalent atoms, fractional coordinates:
Sc 0.0000 0.0000 0.2500
Sc 0.3333 0.6667 0.0641
Tl 0.3333 0.6667 0.2500
P 0.0000 0.0000 0.0000

***

# 5
An optimized crystal structure of Sc3TlP, computed with PBE-GGA.

Properties
Total magnetic moment: 0.00 Bohr magnetons per cell

Cell lengths 4.896, 4.896, 4.896 Å; angles 90.00, 90.00, 90.00 degrees
Space group Pm-3m (No. 221)
Inequivalent atoms, fractional coordinates:
Sc 0.000 0.000 0.500
Tl 0.500 0.500 0.500
P 0.000 0.000 0.000

***

# 6
An optimized crystal structure of Sc3TlP, computed with PBE-GGA.

Properties
Total magnetic moment: 0.00 Bohr magnetons per cell

Cell lengths 11.467, 5.084, 8.492 Å; angles 90.00, 114.51, 90.00 degrees
Space group C2/m (No. 12)
Inequivalent atoms, fractional coordinates:
Sc 0.117 0.000 0.229
Sc 0.129 0.500 0.922
Sc 0.144 0.000 0.647
Tl 0.107 0.500 0.433
P 0.126 0.000 0.934

***

Number 1: density 5.5 g/cm3, electronic total energy -22.7 eV per cell. Number 2: density 6.0 g/cm3, electronic total energy -59.5 eV per cell. Number 3: density 4.2 g/cm3, electronic total energy -54.6 eV per cell. Number 4: density 4.6 g/cm3, electronic total energy -54.7 eV per cell. Number 5: density 5.2 g/cm3, electronic total energy -30.3 eV per cell. Number 6: density 5.5 g/cm3, electronic total energy -120.9 eV per cell.